# 1
SnTePCl2 | GGA-PBE | optimized geometry

abc: 5.192 5.192 5.437
angles: 90.00 90.00 90.00
Positions (direct):
P (0.000, 0.000, 0.500)
Te (0.000, 0.000, 0.000)
Sn (0.500, 0.500, 0.500)
Cl (0.000, 0.500, 0.000)
Cl (0.500, 0.000, 0.000)

Values from the calculation:
- raw formation energy (eV per formula unit) = 1.42

# 2
TaCu2Te | GGA-PBE | optimized geometry

abc: 3.572 3.522 6.475
angles: 56.99 90.00 90.00
Positions (direct):
Cu (0.000, 0.977, 0.023)
Cu (0.000, 0.523, 0.477)
Ta (0.500, 0.250, 0.250)
Te (0.500, 0.750, 0.750)

Values from the calculation:
- raw formation energy (eV per formula unit) = 1.17

# 3
Tb2ThNi2 | GGA-PBE | optimized geometry

abc: 6.039 6.259 7.158
angles: 99.31 90.00 118.84
Positions (direct):
Tb (0.549, 0.312, 0.155)
Tb (0.237, 0.688, 0.345)
Tb (0.451, 0.688, 0.845)
Tb (0.763, 0.312, 0.655)
Th (0.903, 0.000, 0.250)
Th (0.097, 0.000, 0.750)
Ni (0.704, 0.687, 0.489)
Ni (0.018, 0.313, 0.011)
Ni (0.296, 0.313, 0.511)
Ni (0.982, 0.687, 0.989)

Values from the calculation:
- E_form (kJ/mol of atoms) = -33.6

# 4
MgSbAs | GGA-PBE | optimized geometry

abc: 4.289 4.268 9.707
angles: 90.00 90.00 120.16
Positions (direct):
Sb (0.607, 0.214, 0.000)
Sb (0.279, 0.558, 0.500)
Mg (0.613, 0.226, 0.331)
Mg (0.613, 0.226, 0.669)
As (0.277, 0.554, 0.814)
As (0.277, 0.554, 0.186)

Values from the calculation:
- raw formation energy (eV per formula unit) = -0.24

# 5
LaGa2HgOs | GGA-PBE | optimized geometry

abc: 4.920 5.422 4.920
angles: 90.00 90.00 90.00
Positions (direct):
Os (0.000, 0.000, 0.000)
Hg (0.500, 0.500, 0.500)
Ga (0.000, 0.000, 0.500)
Ga (0.500, 0.000, 0.000)
La (0.000, 0.500, 0.000)

Values from the calculation:
- E_form (kJ/mol of atoms) = -24.1

# 6
Sr2Li6MgCd | GGA-PBE | optimized geometry

abc: 7.479 7.479 7.470
angles: 60.03 60.03 89.98
Positions (direct):
Sr (0.250, 0.750, 0.500)
Sr (0.750, 0.250, 0.500)
Li (0.245, 0.755, 0.000)
Li (0.755, 0.755, 0.000)
Li (0.245, 0.245, 0.510)
Li (0.755, 0.245, 0.000)
Li (0.245, 0.245, 0.000)
Li (0.755, 0.755, 0.490)
Mg (0.500, 0.500, 0.000)
Cd (0.000, 0.000, 0.000)

Values from the calculation:
- E_form (kJ/mol of atoms) = 7.1

# 7
Pr2Tm4In | GGA-PBE | optimized geometry

abc: 5.556 6.613 11.869
angles: 90.00 103.54 90.00
Positions (direct):
Pr (0.514, 0.750, 0.027)
Pr (0.486, 0.250, 0.973)
Pr (0.200, 0.250, 0.398)
Pr (0.800, 0.750, 0.602)
Tm (0.641, 0.496, 0.281)
Tm (0.942, 0.750, 0.884)
Tm (0.058, 0.250, 0.116)
Tm (0.641, 0.004, 0.281)
Tm (0.776, 0.250, 0.550)
Tm (0.359, 0.996, 0.719)
Tm (0.359, 0.504, 0.719)
Tm (0.224, 0.750, 0.450)
In (0.091, 0.750, 0.180)
In (0.909, 0.250, 0.820)

Values from the calculation:
- E_form (kJ/mol of atoms) = -2.5

# 8
CeErZn | GGA-PBE | optimized geometry

abc: 4.805 4.805 7.247
angles: 89.99 90.00 120.00
Site moments in Bohr magnetons follow the coordinates.
Positions (direct):
Ce (0.333, 0.667, 0.419)  0.22
Ce (0.667, 0.333, 0.581)  0.22
Er (0.667, 0.333, 0.108)  0.00
Er (0.333, 0.667, 0.892)  0.00
Zn (0.000, 0.000, 0.229)  -0.01
Zn (0.000, 0.000, 0.771)  -0.01

Values from the calculation:
- E_form (kJ/mol of atoms) = -5.8

# 9
AsRh3 | GGA-PBE | optimized geometry

abc: 8.085 8.085 8.085
angles: 152.11 152.11 39.85
Positions (direct):
As (0.377, 0.377, 0.000)
As (0.623, 0.623, 0.000)
Rh (0.500, 0.000, 0.500)
Rh (0.000, 0.500, 0.500)
Rh (0.750, 0.250, 0.500)
Rh (0.250, 0.750, 0.500)
Rh (0.125, 0.125, 0.000)
Rh (0.875, 0.875, 0.000)

Values from the calculation:
- E_form (kJ/mol of atoms) = -10.2

# 10
BaHf3Sc | GGA-PBE | optimized geometry

abc: 5.264 5.264 5.264
angles: 90.00 90.00 90.00
Positions (direct):
Sc (0.500, 0.500, 0.500)
Hf (0.000, 0.500, 0.000)
Hf (0.000, 0.000, 0.500)
Hf (0.500, 0.000, 0.000)
Ba (0.000, 0.000, 0.000)

Values from the calculation:
- E_form (kJ/mol of atoms) = 173.5

# 11
Rb3Sc3MnTe8 | GGA-PBE | optimized geometry

abc: 8.382 8.395 10.016
angles: 114.87 90.00 119.95
Site moments in Bohr magnetons follow the coordinates.
Positions (direct):
Rb (0.000, 0.000, 0.000)  0.00
Rb (0.000, 0.500, 0.000)  0.00
Rb (0.500, 0.500, 0.000)  0.00
Sc (0.500, 0.000, 0.500)  0.02
Sc (0.500, 0.500, 0.500)  0.02
Sc (0.000, 0.500, 0.500)  0.02
Mn (0.000, 0.000, 0.500)  3.48
Te (0.270, 0.539, 0.309)  0.00
Te (0.730, 0.461, 0.691)  0.00
Te (0.780, 0.560, 0.319)  -0.06
Te (0.220, 0.440, 0.681)  -0.06
Te (0.780, 0.039, 0.319)  -0.06
Te (0.220, 0.961, 0.681)  -0.06
Te (0.259, 0.039, 0.319)  -0.06
Te (0.741, 0.961, 0.681)  -0.06

Values from the calculation:
- raw formation energy (eV per formula unit) = -14.98

# 12
SrLa2Sb | GGA-PBE | optimized geometry

abc: 9.563 9.563 7.561
angles: 50.77 50.77 90.00
Positions (direct):
Sb (0.000, 0.000, 0.000)
Sb (0.750, 0.250, 0.500)
Sr (0.500, 0.500, 0.000)
Sr (0.250, 0.750, 0.500)
La (0.674, 0.125, 0.250)
La (0.076, 0.625, 0.250)
La (0.375, 0.326, 0.750)
La (0.875, 0.924, 0.750)

Values from the calculation:
- raw formation energy (eV per formula unit) = -1.23

# 13
Ac4TmS7 | GGA-PBE | optimized geometry

abc: 4.132 7.264 12.098
angles: 105.01 90.00 106.52
Positions (direct):
Ac (0.702, 0.404, 0.807)
Ac (0.308, 0.616, 0.204)
Ac (0.002, 0.004, 0.992)
Ac (0.108, 0.215, 0.434)
Tm (0.884, 0.767, 0.574)
S (0.740, 0.481, 0.367)
S (0.278, 0.556, 0.648)
S (0.341, 0.682, 0.952)
S (0.663, 0.326, 0.052)
S (0.039, 0.079, 0.764)
S (0.961, 0.922, 0.215)
S (0.473, 0.947, 0.491)

Values from the calculation:
- raw formation energy (eV per formula unit) = -25.40

# 14
KLaY2Cr | GGA-PBE | optimized geometry

abc: 5.651 5.832 5.651
angles: 90.00 90.00 90.00
Site moments in Bohr magnetons follow the coordinates.
Positions (direct):
Y (0.000, 0.000, 0.500)  -0.05
Y (0.500, 0.000, 0.000)  -0.03
Cr (0.500, 0.500, 0.500)  0.47
K (0.000, 0.500, 0.000)  0.00
La (0.000, 0.000, 0.000)  -0.03

Values from the calculation:
- E_form (kJ/mol of atoms) = 179.2

# 15
YTm2Zr | GGA-PBE | optimized geometry

abc: 3.420 3.420 11.407
angles: 81.38 81.38 60.00
Positions (direct):
Y (0.500, 0.500, 0.500)
Tm (0.745, 0.745, 0.766)
Tm (0.255, 0.255, 0.234)
Zr (0.000, 0.000, 0.000)

Values from the calculation:
- E_form (kJ/mol of atoms) = 7.2

# 16
InSe2BrO | GGA-PBE | optimized geometry

abc: 4.226 4.226 6.490
angles: 90.00 90.00 90.00
Positions (direct):
O (0.000, 0.000, 0.000)
Se (0.000, 0.500, 0.000)
Se (0.500, 0.000, 0.000)
Br (0.000, 0.000, 0.500)
In (0.500, 0.500, 0.500)

Values from the calculation:
- raw formation energy (eV per formula unit) = 0.32

# 17
ZnMoPd2 | GGA-PBE | optimized geometry

abc: 6.978 6.978 5.631
angles: 51.71 51.71 90.00
Positions (direct):
Mo (0.000, 0.000, 0.000)
Mo (0.750, 0.250, 0.500)
Zn (0.500, 0.500, 0.000)
Zn (0.250, 0.750, 0.500)
Pd (0.619, 0.125, 0.250)
Pd (0.131, 0.625, 0.250)
Pd (0.375, 0.381, 0.750)
Pd (0.875, 0.869, 0.750)

Values from the calculation:
- E_form (kJ/mol of atoms) = 41.8

# 18
LaTlRe | GGA-PBE | optimized geometry

abc: 4.272 5.482 7.602
angles: 106.13 92.58 104.38
Positions (direct):
La (0.686, 0.354, 0.547)
La (0.886, 0.935, 0.070)
Tl (0.309, 0.881, 0.719)
Tl (0.288, 0.611, 0.283)
Re (0.199, 0.422, 0.860)
Re (0.692, 0.363, 0.001)

Values from the calculation:
- E_form (kJ/mol of atoms) = 14.1

# 19
Hf2TaB6 | GGA-PBE | optimized geometry

abc: 3.416 5.427 5.427
angles: 120.00 90.00 90.00
Positions (direct):
Hf (0.000, 0.333, 0.667)
Hf (0.000, 0.667, 0.333)
Ta (0.000, 0.000, 0.000)
B (0.500, 0.331, 0.331)
B (0.500, 0.669, 0.669)
B (0.500, 0.000, 0.669)
B (0.500, 0.669, 0.000)
B (0.500, 0.331, 0.000)
B (0.500, 0.000, 0.331)

Values from the calculation:
- E_form (kJ/mol of atoms) = -88.2

# 20
Mg5SnPd | GGA-PBE | optimized geometry

abc: 4.554 4.554 7.341
angles: 90.00 90.00 90.00
Positions (direct):
Mg (0.500, 0.000, 0.247)
Mg (0.000, 0.500, 0.247)
Mg (0.000, 0.000, 0.500)
Mg (0.000, 0.500, 0.753)
Mg (0.500, 0.000, 0.753)
Sn (0.000, 0.000, 0.000)
Pd (0.500, 0.500, 0.500)

Values from the calculation:
- E_form (kJ/mol of atoms) = -23.5

# 21
Sc2CrGaCo | GGA-PBE | optimized geometry

abc: 4.833 4.256 4.833
angles: 90.00 90.00 90.00
Site moments in Bohr magnetons follow the coordinates.
Positions (direct):
Sc (0.000, 0.000, 0.500)  -0.04
Sc (0.500, 0.000, 0.000)  -0.08
Cr (0.000, 0.500, 0.000)  2.52
Co (0.000, 0.000, 0.000)  -0.13
Ga (0.500, 0.500, 0.500)  -0.08

Values from the calculation:
- E_form (kJ/mol of atoms) = 15.5

# 22
SiTc2Ni | GGA-PBE | optimized geometry

abc: 6.315 6.315 6.315
angles: 42.93 155.20 145.52
Positions (direct):
Si (0.000, 0.000, 0.000)
Tc (0.000, 0.199, 0.199)
Tc (0.000, 0.801, 0.801)
Ni (0.000, 0.500, 0.500)

Values from the calculation:
- raw formation energy (eV per formula unit) = 0.78

# 23
ZrPaAgS6 | GGA-PBE | optimized geometry

abc: 6.144 6.361 6.361
angles: 120.00 90.00 90.00
Positions (direct):
Zr (0.500, 0.667, 0.333)
Pa (0.000, 0.333, 0.667)
Ag (0.500, 0.000, 0.000)
S (0.744, 0.662, 0.657)
S (0.744, 0.343, 0.005)
S (0.744, 0.995, 0.338)
S (0.256, 0.343, 0.338)
S (0.256, 0.662, 0.005)
S (0.256, 0.995, 0.657)

Values from the calculation:
- raw formation energy (eV per formula unit) = -7.63

# 24
GaRu2W | GGA-PBE | optimized geometry

abc: 2.835 2.835 8.663
angles: 80.58 80.58 60.00
Positions (direct):
Ru (0.749, 0.749, 0.753)
Ru (0.251, 0.251, 0.247)
Ga (0.000, 0.000, 0.000)
W (0.500, 0.500, 0.500)

Values from the calculation:
- E_form (kJ/mol of atoms) = -3.8

# 25
MgHgI2 | GGA-PBE | optimized geometry

abc: 8.582 8.582 7.892
angles: 57.06 57.06 90.00
Positions (direct):
I (0.517, 0.125, 0.250)
I (0.233, 0.625, 0.250)
I (0.375, 0.483, 0.750)
I (0.875, 0.767, 0.750)
Mg (0.500, 0.500, 0.000)
Mg (0.250, 0.750, 0.500)
Hg (0.000, 0.000, 0.000)
Hg (0.750, 0.250, 0.500)

Values from the calculation:
- raw formation energy (eV per formula unit) = -2.71

# 26
AlSiSO2 | GGA-PBE | optimized geometry

abc: 3.709 4.781 3.709
angles: 90.00 90.00 90.00
Positions (direct):
S (0.000, 0.000, 0.000)
Si (0.500, 0.500, 0.500)
O (0.000, 0.000, 0.500)
O (0.500, 0.000, 0.000)
Al (0.000, 0.500, 0.000)

Values from the calculation:
- raw formation energy (eV per formula unit) = 0.98